(1)
! Ho3Si3Ru GGA-PBE optimized geometry; values from VASP
! Density of states at the Fermi level, states/eV per cell: 8.86
! Energy relative to the elements, uncorrected, eV per atom: -0.86
! Calculated total energy, eV per cell: -90.59
&SYSTEM
  ibrav = 0, nat = 14, ntyp = 3
/
ATOMIC_SPECIES
Ho 164.93 Ho.upf
Si 28.09 Si.upf
Ru 101.07 Ru.upf
CELL_PARAMETERS angstrom
4.1617 0.0000 0.6269
2.0542 5.2717 0.4901
0.1963 0.0205 12.8240
ATOMIC_POSITIONS angstrom
Ho 3.4373 3.5200 5.4353
Ho 2.4193 1.5146 12.1935
Ho 3.9928 3.7775 1.7475
Ho 4.7677 3.8990 10.7304
Ho 1.6444 1.3931 3.2107
Ho 2.9748 1.7722 8.5057
Si 1.2121 1.4359 6.0808
Si 0.6397 0.7262 9.8803
Si 2.3941 4.4944 12.3605
Si 5.7724 4.5660 4.0608
Si 5.2001 3.8562 7.8603
Si 4.0180 0.7978 1.5805
Ru 3.3799 0.4357 5.8169
Ru 3.0323 4.8565 8.1242

=====

(2)
! Y2CrPb GGA-PBE optimized geometry; values from VASP
! Density of states at the Fermi level, states/eV per cell: 2.51
! DFT formation energy, kcal/mol of atoms: 0.2
! Calculated total energy, eV per cell: -26.22
&SYSTEM
  ibrav = 0, nat = 4, ntyp = 3
/
ATOMIC_SPECIES
Y 88.91 Y.upf
Cr 52.00 Cr.upf
Pb 207.20 Pb.upf
CELL_PARAMETERS angstrom
6.2128 -0.0130 -0.0352
3.0506 5.4123 0.0352
-4.4360 -3.0355 3.1159
ATOMIC_POSITIONS angstrom
Y 9.2097 5.3680 0.0000
Y 1.6829 2.5731 1.5755
Cr 4.8139 2.8059 0.0000
Pb 3.0161 -0.2841 1.5403

=====

(3)
! Sr2GaNiI GGA-PBE optimized geometry; values from VASP
! Density of states at the Fermi level, states/eV per cell: 2.05
! Energy relative to the elements, uncorrected, eV per atom: -0.59
! Calculated total energy, eV per cell: -16.66
&SYSTEM
  ibrav = 0, nat = 5, ntyp = 4
/
ATOMIC_SPECIES
Ga 69.72 Ga.upf
Sr 87.62 Sr.upf
I 126.90 I.upf
Ni 58.69 Ni.upf
CELL_PARAMETERS angstrom
-2.8743 -2.3969 4.5864
-1.6209 -4.5655 -3.4017
3.7505 -2.2188 1.1909
ATOMIC_POSITIONS angstrom
Ga 1.8753 -1.1094 0.5954
Sr -1.4372 -1.1985 2.2932
Sr -0.8104 -2.2827 -1.7009
I -0.3723 -4.5906 1.1878
Ni 0.0000 0.0000 0.0000

=====

Which value of calculated total energy does entry 1 give? -90.59 eV per cell

=====

Please write out number 2 again, unchanged.
! Y2CrPb GGA-PBE optimized geometry; values from VASP
! Density of states at the Fermi level, states/eV per cell: 2.51
! DFT formation energy, kcal/mol of atoms: 0.2
! Calculated total energy, eV per cell: -26.22
&SYSTEM
  ibrav = 0, nat = 4, ntyp = 3
/
ATOMIC_SPECIES
Y 88.91 Y.upf
Cr 52.00 Cr.upf
Pb 207.20 Pb.upf
CELL_PARAMETERS angstrom
6.2128 -0.0130 -0.0352
3.0506 5.4123 0.0352
-4.4360 -3.0355 3.1159
ATOMIC_POSITIONS angstrom
Y 9.2097 5.3680 0.0000
Y 1.6829 2.5731 1.5755
Cr 4.8139 2.8059 0.0000
Pb 3.0161 -0.2841 1.5403